# 1
Compound: Cd2PW
Source: the Alexandria database
Functional: PBE-GGA
Structure: relaxed

It has space group P2/m (No. 10), with a = 2.8297 Å, b = 5.3225 Å, c = 4.9403 Å, α = 90.00°, β = 97.17° and γ = 90.00°. The asymmetric unit holds Cd at (0.2409, 0.0000, 0.2490), P at (0.5000, 0.5000, 0.5000) and W at (0.5000, 0.5000, 0.0000).

The value obtained for the energy of formation from the pure elements is 0.5447 eV per atom. The energy above the most stable polymorph in this dataset is 0.424 eV/atom.

# 2
Compound: RbSi3W
Source: the Alexandria database
Functional: PBE-GGA
Structure: relaxed

It has space group Pm-3m (No. 221), with a = 4.9050 Å, b = 4.9050 Å, c = 4.9050 Å, α = 90.00°, β = 90.00° and γ = 90.00°. The asymmetric unit holds Rb at (0.0000, 0.0000, 0.0000), Si at (0.0000, 0.0000, 0.5000) and W at (0.5000, 0.5000, 0.5000).

The uncorrected formation energy comes out at 3.2081 eV per atom. The energy above the most stable polymorph in this dataset is 2.923 eV/atom.

Number 1: total moment 0.00 μB/f.u.. Number 2: total moment 0.00 μB/f.u..